[1]
Material: NaFe3I
Method: DFT, PBE-GGA
State: optimized geometry

CIF file:
```
data_NaFe3I
_cell_length_a 4.742
_cell_length_b 4.742
_cell_length_c 4.742
_cell_angle_alpha 90.00
_cell_angle_beta 90.00
_cell_angle_gamma 90.00
_space_group_name_H-M_alt 'P m -3 m'
_space_group_IT_number 221
_space_group_name_Hall '-P 4 2 3'
loop_
_atom_site_label
_atom_site_type_symbol
_atom_site_fract_x
_atom_site_fract_y
_atom_site_fract_z
Na1 Na 0.000 0.000 0.000
Fe1 Fe 0.000 0.500 0.500
I1 I 0.500 0.500 0.500
```

Computed properties:
- ΔE to the lowest computed polymorph (eV/atom) = 0.000

***

[2]
Material: Na2FeI5
Method: DFT, PBE-GGA
State: optimized geometry

CIF file:
```
data_Na2FeI5
_cell_length_a 20.920
_cell_length_b 10.141
_cell_length_c 16.516
_cell_angle_alpha 90.00
_cell_angle_beta 123.58
_cell_angle_gamma 90.00
_space_group_name_H-M_alt 'C 1 2/c 1'
_space_group_IT_number 15
loop_
_space_group_symop_operation_xyz
'x,y,z'
'-x,-y,-z'
'-x,y,-z+1/2'
'x,-y,z+1/2'
'x+1/2,y+1/2,z'
'-x+1/2,-y+1/2,-z'
'-x+1/2,y+1/2,-z+1/2'
'x+1/2,-y+1/2,z+1/2'
loop_
_atom_site_label
_atom_site_type_symbol
_atom_site_fract_x
_atom_site_fract_y
_atom_site_fract_z
Na1 Na 0.035 0.173 0.462
Na2 Na 0.122 0.139 0.812
Fe1 Fe 0.172 0.389 0.308
I1 I 0.022 0.122 0.901
I2 I 0.064 0.442 0.135
I3 I 0.133 0.182 0.361
I4 I 0.192 0.419 0.921
I5 I 0.204 0.162 0.682
```

***

[3]
Material: NaFe3I9
Method: DFT, PBE-GGA
State: optimized geometry

CIF file:
```
data_NaFe3I9
_cell_length_a 20.860
_cell_length_b 10.383
_cell_length_c 14.953
_cell_angle_alpha 90.00
_cell_angle_beta 131.20
_cell_angle_gamma 90.00
_space_group_name_H-M_alt 'C 1 c 1'
_space_group_IT_number 9
loop_
_space_group_symop_operation_xyz
'x,y,z'
'x,-y,z+1/2'
'x+1/2,y+1/2,z'
'x+1/2,-y+1/2,z+1/2'
loop_
_atom_site_label
_atom_site_type_symbol
_atom_site_fract_x
_atom_site_fract_y
_atom_site_fract_z
Na1 Na 0.000 0.209 0.000
Fe1 Fe 0.123 0.427 0.813
Fe2 Fe 0.245 0.101 0.776
Fe3 Fe 0.331 0.393 0.656
I1 I 0.008 0.317 0.798
I2 I 0.069 0.495 0.113
I3 I 0.098 0.073 0.574
I4 I 0.175 0.364 0.447
I5 I 0.256 0.277 0.917
I6 I 0.303 0.101 0.399
I7 I 0.328 0.428 0.268
I8 I 0.359 0.166 0.758
I9 I 0.450 0.416 0.652
```

***

[4]
Material: Na3Fe2I8
Method: DFT, PBE-GGA
State: optimized geometry

CIF file:
```
data_Na3Fe2I8
_cell_length_a 14.965
_cell_length_b 9.245
_cell_length_c 7.856
_cell_angle_alpha 90.00
_cell_angle_beta 110.37
_cell_angle_gamma 90.00
_space_group_name_H-M_alt 'C 1 2/m 1'
_space_group_IT_number 12
loop_
_space_group_symop_operation_xyz
'x,y,z'
'-x,-y,-z'
'-x,y,-z'
'x,-y,z'
'x+1/2,y+1/2,z'
'-x+1/2,-y+1/2,-z'
'-x+1/2,y+1/2,-z'
'x+1/2,-y+1/2,z'
loop_
_atom_site_label
_atom_site_type_symbol
_atom_site_fract_x
_atom_site_fract_y
_atom_site_fract_z
Na1 Na 0.000 0.000 0.000
Na2 Na 0.000 0.271 0.500
Fe1 Fe 0.185 0.500 0.128
I1 I 0.125 0.000 0.735
I2 I 0.130 0.268 0.245
I3 I 0.139 0.500 0.780
```

***

[5]
Material: NaFe3I12
Method: DFT, PBE-GGA
State: optimized geometry

CIF file:
```
data_NaFe3I12
_cell_length_a 12.5648
_cell_length_b 12.5648
_cell_length_c 36.7401
_cell_angle_alpha 90.00
_cell_angle_beta 90.00
_cell_angle_gamma 120.00
_space_group_name_H-M_alt 'R 3 c'
_space_group_IT_number 161
_space_group_name_Hall 'R 3 -2"c'
loop_
_atom_site_label
_atom_site_type_symbol
_atom_site_fract_x
_atom_site_fract_y
_atom_site_fract_z
Na1 Na 0.0000 0.0000 0.0000
Fe1 Fe 0.0288 0.3569 0.1557
I1 I 0.0879 0.5425 0.6170
I2 I 0.0987 0.2336 0.8298
I3 I 0.1043 0.2221 0.1295
I4 I 0.1469 0.4227 0.2157
```

***

[6]
Material: Na3Fe5I12
Method: DFT, PBE-GGA
State: optimized geometry

CIF file:
```
data_Na3Fe5I12
_cell_length_a 17.341
_cell_length_b 17.341
_cell_length_c 17.341
_cell_angle_alpha 90.00
_cell_angle_beta 90.00
_cell_angle_gamma 90.00
_space_group_name_H-M_alt 'I a -3 d'
_space_group_IT_number 230
_space_group_name_Hall '-I 4bd 2c 3'
loop_
_atom_site_label
_atom_site_type_symbol
_atom_site_fract_x
_atom_site_fract_y
_atom_site_fract_z
Na1 Na 0.000 0.250 0.125
Fe1 Fe 0.000 0.000 0.000
Fe2 Fe 0.000 0.250 0.375
I1 I 0.031 0.052 0.644
```

***

[7]
Material: NaFe3I
Method: DFT, PBE-GGA
State: optimized geometry

CIF file:
```
data_NaFe3I
_cell_length_a 4.721
_cell_length_b 4.721
_cell_length_c 4.721
_cell_angle_alpha 90.00
_cell_angle_beta 90.00
_cell_angle_gamma 90.00
_space_group_name_H-M_alt 'P m -3 m'
_space_group_IT_number 221
_space_group_name_Hall '-P 4 2 3'
loop_
_atom_site_label
_atom_site_type_symbol
_atom_site_fract_x
_atom_site_fract_y
_atom_site_fract_z
Na1 Na 0.000 0.000 0.000
Fe1 Fe 0.000 0.000 0.500
I1 I 0.500 0.500 0.500
```

Computed properties:
- ΔE to the lowest computed polymorph (eV/atom) = 0.551

***

[8]
Material: NaFeI5
Method: DFT, PBE-GGA
State: optimized geometry

CIF file:
```
data_NaFeI5
_cell_length_a 8.034
_cell_length_b 9.973
_cell_length_c 16.103
_cell_angle_alpha 90.00
_cell_angle_beta 90.00
_cell_angle_gamma 90.00
_space_group_name_H-M_alt 'P n m a'
_space_group_IT_number 62
loop_
_space_group_symop_operation_xyz
'x,y,z'
'-x,-y,-z'
'-x+1/2,-y,z+1/2'
'x+1/2,y,-z+1/2'
'x+1/2,-y+1/2,-z+1/2'
'-x+1/2,y+1/2,z+1/2'
'-x,y+1/2,-z'
'x,-y+1/2,z'
loop_
_atom_site_label
_atom_site_type_symbol
_atom_site_fract_x
_atom_site_fract_y
_atom_site_fract_z
Na1 Na 0.166 0.250 0.135
Fe1 Fe 0.026 0.250 0.891
I1 I 0.018 0.553 0.194
I2 I 0.044 0.250 0.320
I3 I 0.171 0.750 0.995
I4 I 0.192 0.750 0.446
```

***

[9]
Material: NaFe4I12
Method: DFT, PBE-GGA
State: optimized geometry

CIF file:
```
data_NaFe4I12
_cell_length_a 10.516
_cell_length_b 10.653
_cell_length_c 10.844
_cell_angle_alpha 90.00
_cell_angle_beta 90.00
_cell_angle_gamma 90.00
_space_group_name_H-M_alt 'I m m m'
_space_group_IT_number 71
_space_group_name_Hall '-I 2 2'
loop_
_atom_site_label
_atom_site_type_symbol
_atom_site_fract_x
_atom_site_fract_y
_atom_site_fract_z
Na1 Na 0.000 0.000 0.000
Fe1 Fe 0.250 0.250 0.250
I1 I 0.000 0.316 0.303
I2 I 0.186 0.000 0.297
I3 I 0.191 0.218 0.000
```

***

[10]
Material: Na2FeI4
Method: DFT, PBE-GGA
State: optimized geometry

CIF file:
```
data_Na2FeI4
_cell_length_a 7.694
_cell_length_b 7.694
_cell_length_c 10.114
_cell_angle_alpha 90.00
_cell_angle_beta 90.00
_cell_angle_gamma 90.00
_space_group_name_H-M_alt 'I -4 2 m'
_space_group_IT_number 121
_space_group_name_Hall 'I -4 2'
loop_
_atom_site_label
_atom_site_type_symbol
_atom_site_fract_x
_atom_site_fract_y
_atom_site_fract_z
Na1 Na 0.000 0.500 0.000
Fe1 Fe 0.000 0.000 0.000
I1 I 0.202 0.202 0.145
```

***

Here are the calculated energy relative to the elements, uncorrected numbers, same order: 1288 -682 -296 -636 -234 -259 1840 -250 -111 -723 (meV per atom).
Here are the calculated uncorrected energy numbers, same order: -4.363 -3.038 -3.423 -3.196 -3.066 -3.502 -3.812 -2.755 -3.274 -3.195 (eV/atom).